Below is PmNd3Pd2 after structural relaxation, with properties calculated at the PBE level.

- ΔH_f (0 K) (kJ/mol of formula units) = -242
- magnetic moment (μB per formula unit) = 0.0
- energy relative to the lowest polymorph listed for this composition (eV per atom) = 0.070
- DOS at the Fermi energy (states/eV per cell) = 11.85
- uncorrected energy (eV/atom) = -5.33

a b c (Å): 8.731 8.731 8.731
angles (deg): 131.79 71.61 130.46
Fractional coordinates of all 12 atoms:
Pm 0.000 0.000 0.000
Pm 0.500 0.500 0.000
Nd 0.016 0.250 0.766
Nd 0.250 0.750 0.500
Nd 0.484 0.250 0.234
Nd 0.516 0.750 0.766
Nd 0.750 0.250 0.500
Nd 0.984 0.750 0.234
Pd 0.140 0.708 0.848
Pd 0.360 0.208 0.568
Pd 0.640 0.792 0.432
Pd 0.860 0.292 0.152